[1]
PrTm2Mg2 | Alexandria via LeMat-Bulk | PBE | relaxed; calculated density = 6.13 g/cm3; calculated volume = 143 Å³/f.u.; SG = P2_1/m, No. 11; size of the total moment = 0.00 μB/f.u.
1.0
3.741 0.000 0.000
0.000 5.477 0.000
-1.873 0.000 13.939
Pr Tm Mg
2 4 4
Direct
0.151 0.250 0.302
0.849 0.750 0.698
0.044 0.750 0.089
0.238 0.750 0.475
0.762 0.250 0.525
0.956 0.250 0.911
0.360 0.250 0.720
0.449 0.750 0.899
0.551 0.250 0.101
0.640 0.750 0.280

***

[2]
Pr15Tm2Mg2 | Alexandria via LeMat-Bulk | PBE | relaxed; calculated density = 6.22 g/cm3; calculated volume = 668 Å³/f.u.; SG = R-3m, No. 166; size of the total moment = 0.00 μB/f.u.
1.0
5.663 3.270 6.013
-5.663 3.270 6.013
0.000 -6.539 6.013
Pr Tm Mg
15 2 2
Direct
0.000 0.000 0.500
0.000 0.296 0.704
0.000 0.500 0.000
0.000 0.704 0.296
0.161 0.623 0.623
0.296 0.000 0.704
0.296 0.704 0.000
0.377 0.377 0.839
0.377 0.839 0.377
0.500 0.000 0.000
0.623 0.161 0.623
0.623 0.623 0.161
0.704 0.000 0.296
0.704 0.296 0.000
0.839 0.377 0.377
0.309 0.309 0.309
0.691 0.691 0.691
0.092 0.092 0.092
0.908 0.908 0.908

***

ΔE_f
In order: -0.054 0.232
Unit: eV per atom